A relaxed structure of Al2In2NiPt5. Source: Alexandria via LeMat-Bulk, functional PBE.

Calculated values
Calculated volume (Å³/f.u.): 165
E (eV per formula unit): -53.2

Cell lengths 9.3864, 9.3864, 3.7371 Å; angles 90.00, 90.00, 90.00 degrees
Closest atoms and distances in Å follow each position.
Space group P4/mbm (No. 127)
Asymmetric unit:
Al  0.1292  0.3708  0.0000 [4 per cell]  6 Pt 2.53-2.54, 1 In 2.63
In  0.1726  0.6726  0.0000 [4 per cell]  3 Al 2.63-2.86
Ni  0.0000  0.0000  0.0000 [2 per cell]  8 Pt 2.72
Pt  0.0000  0.5000  0.5000 [2 per cell]  4 Al 2.54
Pt  0.0792  0.1957  0.5000 [8 per cell]  2 Al 2.53, 2 Ni 2.72, 2 Pt 2.80